VASP calculation (PBE) on N after structural relaxation. Values from VASP.

Calculated values
* energy relative to the lowest polymorph listed for this composition: 1065.5 meV/atom
* uncorrected formation energy: 1065 meV/atom

Structure (Quantum ESPRESSO input):
```
&SYSTEM
  ibrav = 0, nat = 16, ntyp = 1
/
ATOMIC_SPECIES
N 14.01 N.upf
ATOMIC_POSITIONS crystal
N 0.044 0.077 0.033
N 0.044 0.423 0.033
N 0.249 0.160 0.934
N 0.249 0.340 0.934
N 0.251 0.660 0.434
N 0.251 0.840 0.434
N 0.456 0.577 0.533
N 0.456 0.923 0.533
N 0.544 0.077 0.467
N 0.544 0.423 0.467
N 0.749 0.160 0.566
N 0.749 0.340 0.566
N 0.751 0.660 0.066
N 0.751 0.840 0.066
N 0.956 0.577 0.967
N 0.956 0.923 0.967
CELL_PARAMETERS angstrom
4.873 0.000 0.000
0.000 7.084 0.000
0.000 0.000 6.867
```